# 1
The following is a DFT calculation (PBE) of a relaxed Tb2GdCu crystal.

Structure (POSCAR):
```
Tb2GdCu
1.0
3.5137 0.0000 0.0000
0.0000 3.5137 0.0000
0.0000 0.0000 8.7001
Tb Gd Cu
2 1 1
direct
0.0000 0.0000 0.1961 Tb
0.0000 0.0000 0.8039 Tb
0.5000 0.5000 0.5000 Gd
0.5000 0.5000 0.0000 Cu
```

Output
Energy ... -6.95 eV per atom
E_form ... -0.086 eV/atom
Distance to the lowest polymorph of the same formula ... 0 meV per atom
Magnetic moment ... 7.5 μB per formula unit

# 2
The following is a DFT calculation (PBE) of a relaxed TbGdCu2 crystal.

Structure (POSCAR):
```
TbGdCu2
1.0
4.0887 0.0000 0.0000
-2.0443 3.5409 0.0000
0.0000 0.0000 20.0481
Tb Gd Cu
3 3 6
direct
0.0000 0.0000 0.0000 Tb
0.3333 0.6667 0.6667 Tb
0.6667 0.3333 0.3333 Tb
0.0000 0.0000 0.5000 Gd
0.3333 0.6667 0.1667 Gd
0.6667 0.3333 0.8333 Gd
0.0000 0.0000 0.2511 Cu
0.0000 0.0000 0.7489 Cu
0.3333 0.6667 0.4156 Cu
0.3333 0.6667 0.9177 Cu
0.6667 0.3333 0.0823 Cu
0.6667 0.3333 0.5844 Cu
```

Output
Energy ... -6.73 eV per atom
E_form ... -0.003 eV/atom
Distance to the lowest polymorph of the same formula ... 225 meV per atom
Magnetic moment ... 7.8 μB per formula unit

# 3
The following is a DFT calculation (PBE) of a relaxed TbGdCu2 crystal.

Structure (POSCAR):
```
TbGdCu2
1.0
6.9967 0.0000 0.0000
0.0000 6.9967 0.0000
0.0000 0.0000 6.9967
Tb Gd Cu
4 4 8
direct
0.0000 0.0000 0.0000 Tb
0.0000 0.5000 0.5000 Tb
0.5000 0.0000 0.5000 Tb
0.5000 0.5000 0.0000 Tb
0.0000 0.0000 0.5000 Gd
0.0000 0.5000 0.0000 Gd
0.5000 0.0000 0.0000 Gd
0.5000 0.5000 0.5000 Gd
0.2500 0.2500 0.2500 Cu
0.2500 0.2500 0.7500 Cu
0.2500 0.7500 0.2500 Cu
0.2500 0.7500 0.7500 Cu
0.7500 0.2500 0.2500 Cu
0.7500 0.2500 0.7500 Cu
0.7500 0.7500 0.2500 Cu
0.7500 0.7500 0.7500 Cu
```

Output
Energy ... -6.95 eV per atom
E_form ... -0.222 eV/atom
Distance to the lowest polymorph of the same formula ... 6 meV per atom
Magnetic moment ... 7.2 μB per formula unit

# 4
The following is a DFT calculation (PBE) of a relaxed TbGdCu crystal.

Structure (POSCAR):
```
TbGdCu
1.0
6.8958 0.0000 0.0000
0.0000 6.8958 0.0000
0.0000 0.0000 6.8958
Tb Gd Cu
4 4 4
direct
0.0000 0.0000 0.0000 Tb
0.0000 0.5000 0.5000 Tb
0.5000 0.0000 0.5000 Tb
0.5000 0.5000 0.0000 Tb
0.0000 0.0000 0.5000 Gd
0.0000 0.5000 0.0000 Gd
0.5000 0.0000 0.0000 Gd
0.5000 0.5000 0.5000 Gd
0.2500 0.2500 0.7500 Cu
0.2500 0.7500 0.2500 Cu
0.7500 0.2500 0.2500 Cu
0.7500 0.7500 0.7500 Cu
```

Output
Energy ... -7.54 eV per atom
E_form ... 0.065 eV/atom
Distance to the lowest polymorph of the same formula ... 192 meV per atom
Magnetic moment ... 7.8 μB per formula unit

# 5
The following is a DFT calculation (PBE) of a relaxed TbGdCu2 crystal.

Structure (POSCAR):
```
TbGdCu2
1.0
4.9543 0.0000 0.0000
0.0000 4.9543 0.0000
0.0000 0.0000 3.4817
Tb Gd Cu
1 1 2
direct
0.0000 0.0000 0.0000 Tb
0.5000 0.5000 0.0000 Gd
0.0000 0.5000 0.5000 Cu
0.5000 0.0000 0.5000 Cu
```

Output
Energy ... -6.95 eV per atom
E_form ... -0.228 eV/atom
Distance to the lowest polymorph of the same formula ... 0 meV per atom
Magnetic moment ... 7.1 μB per formula unit

# 6
The following is a DFT calculation (PBE) of a relaxed TbGdTlCu crystal.

Structure (POSCAR):
```
TbGdTlCu
1.0
7.3654 0.0000 0.0000
0.0000 7.3654 0.0000
0.0000 0.0000 7.3654
Tb Gd Tl Cu
4 4 4 4
direct
0.0000 0.0000 0.0000 Tb
0.0000 0.5000 0.5000 Tb
0.5000 0.0000 0.5000 Tb
0.5000 0.5000 0.0000 Tb
0.0000 0.0000 0.5000 Gd
0.0000 0.5000 0.0000 Gd
0.5000 0.0000 0.0000 Gd
0.5000 0.5000 0.5000 Gd
0.2500 0.2500 0.7500 Tl
0.2500 0.7500 0.2500 Tl
0.7500 0.2500 0.2500 Tl
0.7500 0.7500 0.7500 Tl
0.2500 0.2500 0.2500 Cu
0.2500 0.7500 0.7500 Cu
0.7500 0.2500 0.7500 Cu
0.7500 0.7500 0.2500 Cu
```

Output
Energy ... -6.54 eV per atom
E_form ... -0.251 eV/atom
Magnetic moment ... 7.6 μB per formula unit

# 7
The following is a DFT calculation (PBE) of a relaxed TbGdZnCu crystal.

Structure (POSCAR):
```
TbGdZnCu
1.0
7.0932 0.0000 0.0000
0.0000 7.0932 0.0000
0.0000 0.0000 7.0932
Tb Gd Zn Cu
4 4 4 4
direct
0.0000 0.0000 0.0000 Tb
0.0000 0.5000 0.5000 Tb
0.5000 0.0000 0.5000 Tb
0.5000 0.5000 0.0000 Tb
0.0000 0.0000 0.5000 Gd
0.0000 0.5000 0.0000 Gd
0.5000 0.0000 0.0000 Gd
0.5000 0.5000 0.5000 Gd
0.2500 0.2500 0.7500 Zn
0.2500 0.7500 0.2500 Zn
0.7500 0.2500 0.2500 Zn
0.7500 0.7500 0.7500 Zn
0.2500 0.2500 0.2500 Cu
0.2500 0.7500 0.7500 Cu
0.7500 0.2500 0.7500 Cu
0.7500 0.7500 0.2500 Cu
```

Output
Energy ... -6.29 eV per atom
E_form ... -0.273 eV/atom
Magnetic moment ... 7.2 μB per formula unit

# 8
The following is a DFT calculation (PBE) of a relaxed GdTiCuTc crystal.

Structure (POSCAR):
```
GdTiCuTc
1.0
6.5608 0.0000 0.0000
0.0000 6.5608 0.0000
0.0000 0.0000 6.5608
Gd Ti Cu Tc
4 4 4 4
direct
0.0000 0.0000 0.0000 Gd
0.0000 0.5000 0.5000 Gd
0.5000 0.0000 0.5000 Gd
0.5000 0.5000 0.0000 Gd
0.0000 0.0000 0.5000 Ti
0.0000 0.5000 0.0000 Ti
0.5000 0.0000 0.0000 Ti
0.5000 0.5000 0.5000 Ti
0.2500 0.2500 0.2500 Cu
0.2500 0.7500 0.7500 Cu
0.7500 0.2500 0.7500 Cu
0.7500 0.7500 0.2500 Cu
0.2500 0.2500 0.7500 Tc
0.2500 0.7500 0.2500 Tc
0.7500 0.2500 0.2500 Tc
0.7500 0.7500 0.7500 Tc
```

Output
Energy ... -9.16 eV per atom
E_form ... -0.055 eV/atom
Magnetic moment ... 7.3 μB per formula unit

# 9
The following is a DFT calculation (PBE) of a relaxed GdTmCuTc crystal.

Structure (POSCAR):
```
GdTmCuTc
1.0
6.8670 0.0000 0.0000
0.0000 6.8670 0.0000
0.0000 0.0000 6.8670
Gd Tm Cu Tc
4 4 4 4
direct
0.0000 0.0000 0.0000 Gd
0.0000 0.5000 0.5000 Gd
0.5000 0.0000 0.5000 Gd
0.5000 0.5000 0.0000 Gd
0.0000 0.0000 0.5000 Tm
0.0000 0.5000 0.0000 Tm
0.5000 0.0000 0.0000 Tm
0.5000 0.5000 0.5000 Tm
0.2500 0.2500 0.2500 Cu
0.2500 0.7500 0.7500 Cu
0.7500 0.2500 0.7500 Cu
0.7500 0.7500 0.2500 Cu
0.2500 0.2500 0.7500 Tc
0.2500 0.7500 0.2500 Tc
0.7500 0.2500 0.2500 Tc
0.7500 0.7500 0.7500 Tc
```

Output
Energy ... -8.36 eV per atom
E_form ... -0.102 eV/atom
Magnetic moment ... 7.0 μB per formula unit

# 10
The following is a DFT calculation (PBE) of a relaxed GdYCuTc crystal.

Structure (POSCAR):
```
GdYCuTc
1.0
6.9287 0.0000 0.0000
0.0000 6.9287 0.0000
0.0000 0.0000 6.9287
Gd Y Cu Tc
4 4 4 4
direct
0.0000 0.0000 0.0000 Gd
0.0000 0.5000 0.5000 Gd
0.5000 0.0000 0.5000 Gd
0.5000 0.5000 0.0000 Gd
0.0000 0.0000 0.5000 Y
0.0000 0.5000 0.0000 Y
0.5000 0.0000 0.0000 Y
0.5000 0.5000 0.5000 Y
0.2500 0.2500 0.2500 Cu
0.2500 0.7500 0.7500 Cu
0.7500 0.2500 0.7500 Cu
0.7500 0.7500 0.2500 Cu
0.2500 0.2500 0.7500 Tc
0.2500 0.7500 0.2500 Tc
0.7500 0.2500 0.2500 Tc
0.7500 0.7500 0.7500 Tc
```

Output
Energy ... -8.81 eV per atom
E_form ... -0.061 eV/atom
Magnetic moment ... 7.0 μB per formula unit

# 11
The following is a DFT calculation (PBE) of a relaxed GdZrCuTc crystal.

Structure (POSCAR):
```
GdZrCuTc
1.0
6.7500 0.0000 0.0000
0.0000 6.7500 0.0000
0.0000 0.0000 6.7500
Gd Zr Cu Tc
4 4 4 4
direct
0.0000 0.0000 0.0000 Gd
0.0000 0.5000 0.5000 Gd
0.5000 0.0000 0.5000 Gd
0.5000 0.5000 0.0000 Gd
0.0000 0.0000 0.5000 Zr
0.0000 0.5000 0.0000 Zr
0.5000 0.0000 0.0000 Zr
0.5000 0.5000 0.5000 Zr
0.2500 0.2500 0.2500 Cu
0.2500 0.7500 0.7500 Cu
0.7500 0.2500 0.7500 Cu
0.7500 0.7500 0.2500 Cu
0.2500 0.2500 0.7500 Tc
0.2500 0.7500 0.2500 Tc
0.7500 0.2500 0.2500 Tc
0.7500 0.7500 0.7500 Tc
```

Output
Energy ... -9.40 eV per atom
E_form ... -0.127 eV/atom
Magnetic moment ... 7.2 μB per formula unit

# 12
The following is a DFT calculation (PBE) of a relaxed GdCu5Te4 crystal.

Structure (POSCAR):
```
GdCu5Te4
1.0
8.0318 -2.1588 0.0000
8.0318 2.1588 0.0000
-3.2323 0.0000 6.4585
Gd Cu Te
1 5 4
direct
0.0000 0.0000 0.0000 Gd
0.2064 0.2064 0.8746 Cu
0.3173 0.3173 0.6737 Cu
0.5000 0.5000 0.5000 Cu
0.6827 0.6827 0.3263 Cu
0.7936 0.7936 0.1254 Cu
0.1291 0.1291 0.4622 Te
0.3848 0.3848 0.0949 Te
0.6152 0.6152 0.9051 Te
0.8709 0.8709 0.5378 Te
```

Output
Energy ... -4.98 eV per atom
Formation energy from raw total energies ... -0.268 eV per atom
Magnetic moment ... 7.0 μB per formula unit